1.
Below is crystalline Sr3BiP at its relaxed geometry, with properties calculated at the PBE-GGA level.

Geometry as CIF:
```
data_Sr3BiP
_chemical_formula_sum 'Sr12 Bi4 P4'
_space_group_name_H-M_alt 'P 1 21/c 1'
_space_group_IT_number 14
_space_group_name_Hall '-P 2ybc'
_cell_length_a 9.3708
_cell_length_b 8.4889
_cell_length_c 9.1601
_cell_angle_alpha 90.00
_cell_angle_beta 99.50
_cell_angle_gamma 90.00
loop_
_atom_site_label
_atom_site_fract_x
_atom_site_fract_y
_atom_site_fract_z
Sr1 0.0497 0.0070 0.2141
Sr2 0.2535 0.6128 0.0744
Sr3 0.3673 0.2024 0.9794
Bi1 0.4115 0.5662 0.7654
P1 0.0606 0.2185 0.5020
```

Calculated values
Its distance to the lowest polymorph of the same formula is 0.000 eV/f.u. The value obtained for the total energy is -3.8128 eV per atom. The formation energy is -0.95 eV/atom. For the density, the calculation gives 4.6 g/cm3.



2.
Below is crystalline SrBiP2 at its relaxed geometry, with properties calculated at the PBE-GGA level.

Geometry as CIF:
```
data_SrBiP2
_chemical_formula_sum 'Sr4 Bi4 P8'
_space_group_name_H-M_alt 'I -4 2 d'
_space_group_IT_number 122
_space_group_name_Hall 'I -4 2bw'
_cell_length_a 7.4218
_cell_length_b 7.4218
_cell_length_c 9.1829
_cell_angle_alpha 90.00
_cell_angle_beta 90.00
_cell_angle_gamma 90.00
loop_
_atom_site_label
_atom_site_fract_x
_atom_site_fract_y
_atom_site_fract_z
Sr1 0.0000 0.0000 0.0000
Bi1 0.0000 0.0000 0.5000
P1 0.2132 0.2500 0.6250
```

Calculated values
The value obtained for the total energy is -4.2780 eV per atom. The formation energy is -0.18 eV/atom. For the density, the calculation gives 4.7 g/cm3.



3.
Below is crystalline Sr2Tb2Bi2P at its relaxed geometry, with properties calculated at the PBE-GGA level.

Geometry as CIF:
```
data_Sr2Tb2Bi2P
_chemical_formula_sum 'Sr4 Tb4 Bi4 P2'
_space_group_name_H-M_alt 'I 4/m m m'
_space_group_IT_number 139
_space_group_name_Hall '-I 4 2'
_cell_length_a 5.3045
_cell_length_b 5.3045
_cell_length_c 17.2676
_cell_angle_alpha 90.00
_cell_angle_beta 90.00
_cell_angle_gamma 90.00
loop_
_atom_site_label
_atom_site_fract_x
_atom_site_fract_y
_atom_site_fract_z
Sr1 0.0000 0.0000 0.1730
Tb1 0.0000 0.5000 0.0000
Bi1 0.0000 0.0000 0.3720
P1 0.0000 0.0000 0.0000
```

Calculated values
The value obtained for the total energy is -4.6777 eV per atom. The formation energy is -0.99 eV/atom. For the density, the calculation gives 6.4 g/cm3.



4.
Below is crystalline Sr6Bi2TeP at its relaxed geometry, with properties calculated at the PBE-GGA level.

Geometry as CIF:
```
data_Sr6Bi2TeP
_chemical_formula_sum 'Sr12 Bi4 Te2 P2'
_space_group_name_H-M_alt 'P 1 21/c 1'
_space_group_IT_number 14
_space_group_name_Hall '-P 2ybc'
_cell_length_a 7.8704
_cell_length_b 8.8403
_cell_length_c 13.8370
_cell_angle_alpha 90.00
_cell_angle_beta 124.05
_cell_angle_gamma 90.00
loop_
_atom_site_label
_atom_site_fract_x
_atom_site_fract_y
_atom_site_fract_z
Sr1 0.0970 0.0548 0.2379
Sr2 0.2332 0.7024 0.0688
Sr3 0.3758 0.1743 0.0651
Bi1 0.2891 0.0955 0.7489
Te1 0.5000 0.0000 0.5000
P1 0.0000 0.0000 0.0000
```

Calculated values
The value obtained for the total energy is -3.6706 eV per atom. For the formation energy without anion corrections, the calculation gives -1.030 eV per atom. For the density, the calculation gives 4.6 g/cm3.



5.
Below is crystalline Sr2Tm2Bi2P at its relaxed geometry, with properties calculated at the PBE-GGA level.

Geometry as CIF:
```
data_Sr2Tm2Bi2P
_chemical_formula_sum 'Sr4 Tm4 Bi4 P2'
_space_group_name_H-M_alt 'I 4/m m m'
_space_group_IT_number 139
_space_group_name_Hall '-I 4 2'
_cell_length_a 5.2145
_cell_length_b 5.2145
_cell_length_c 17.2335
_cell_angle_alpha 90.00
_cell_angle_beta 90.00
_cell_angle_gamma 90.00
loop_
_atom_site_label
_atom_site_fract_x
_atom_site_fract_y
_atom_site_fract_z
Sr1 0.0000 0.0000 0.1726
Tm1 0.0000 0.5000 0.0000
Bi1 0.0000 0.0000 0.3731
P1 0.0000 0.0000 0.0000
```

Calculated values
The value obtained for the total energy is -4.6247 eV per atom. The formation energy is -0.98 eV/atom. For the density, the calculation gives 6.8 g/cm3.



6.
Below is crystalline Sr2ZnBiP at its relaxed geometry, with properties calculated at the PBE-GGA level.

Geometry as CIF:
```
data_Sr2ZnBiP
_chemical_formula_sum 'Sr4 Zn2 Bi2 P2'
_space_group_name_H-M_alt 'P 1 21/m 1'
_space_group_IT_number 11
_space_group_name_Hall '-P 2yb'
_cell_length_a 7.7096
_cell_length_b 4.5285
_cell_length_c 9.4962
_cell_angle_alpha 90.00
_cell_angle_beta 106.94
_cell_angle_gamma 90.00
loop_
_atom_site_label
_atom_site_fract_x
_atom_site_fract_y
_atom_site_fract_z
Sr1 0.1951 0.2500 0.3911
Sr2 0.2227 0.2500 0.9738
Zn1 0.4811 0.7500 0.2588
Bi1 0.3035 0.7500 0.6982
P1 0.1714 0.7500 0.1762
```

Calculated values
Its distance to the lowest polymorph of the same formula is 0.000 eV/f.u. The value obtained for the total energy is -3.6073 eV per atom. The formation energy is -0.82 eV/atom. For the density, the calculation gives 5.0 g/cm3.



7.
Below is crystalline Sr2ZnBiP at its relaxed geometry, with properties calculated at the PBE-GGA level.

Geometry as CIF:
```
data_Sr2ZnBiP
_chemical_formula_sum 'Sr2 Zn1 Bi1 P1'
_space_group_name_H-M_alt 'P 4/m m m'
_space_group_IT_number 123
_space_group_name_Hall '-P 4 2'
_cell_length_a 5.9423
_cell_length_b 5.9423
_cell_length_c 4.5267
_cell_angle_alpha 90.00
_cell_angle_beta 90.00
_cell_angle_gamma 90.00
loop_
_atom_site_label
_atom_site_fract_x
_atom_site_fract_y
_atom_site_fract_z
Sr1 0.0000 0.5000 0.0000
Zn1 0.0000 0.0000 0.5000
Bi1 0.5000 0.5000 0.5000
P1 0.0000 0.0000 0.0000
```

Calculated values
Its distance to the lowest polymorph of the same formula is 0.801 eV/f.u. The value obtained for the total energy is -3.4472 eV per atom. The formation energy is -0.66 eV/atom. For the density, the calculation gives 5.0 g/cm3.



8.
Below is crystalline Ta2BiP2 at its relaxed geometry, with properties calculated at the PBE-GGA level.

Geometry as CIF:
```
data_Ta2BiP2
_chemical_formula_sum 'Ta2 Bi1 P2'
_space_group_name_H-M_alt 'P 4/m m m'
_space_group_IT_number 123
_space_group_name_Hall '-P 4 2'
_cell_length_a 5.2642
_cell_length_b 5.2642
_cell_length_c 4.9424
_cell_angle_alpha 90.00
_cell_angle_beta 90.00
_cell_angle_gamma 90.00
loop_
_atom_site_label
_atom_site_fract_x
_atom_site_fract_y
_atom_site_fract_z
Ta1 0.0000 0.5000 0.0000
Bi1 0.0000 0.0000 0.0000
P1 0.0000 0.0000 0.5000
P2 0.5000 0.5000 0.5000
```

Calculated values
The value obtained for the total energy is -5.2329 eV per atom. The formation energy is 2.45 eV/atom. For the density, the calculation gives 7.7 g/cm3.